[1]
{
  "formula": "YBe2In",
  "functional": "GGA-PBE",
  "state": "relaxed",
  "m_tot_mub_per_fu": 0.000,
  "formation_energy_mev_per_atom": -86,
  "cell": [[3.894, 0.005, 0.000], [1.941, 3.376, 0.000], [1.946, 1.128, 5.602]],
  "species": ["Y", "Be", "Be", "In"],
  "fractional_positions": [[0.270, 0.270, 0.190], [0.049, 0.049, 0.854], [0.716, 0.716, 0.851], [0.465, 0.465, 0.605]]
}

=====

[2]
{
  "formula": "Rb2SiBi",
  "functional": "GGA-PBE",
  "state": "relaxed",
  "m_tot_mub_per_fu": 0.000,
  "raw_formation_energy_ev_per_atom": 0.04,
  "cell": [[-2.497, 6.286, -1.642], [-3.868, 0.802, 8.951], [11.345, 4.280, -0.869]],
  "species": ["Rb", "Rb", "Rb", "Rb", "Rb", "Rb", "Rb", "Rb", "Si", "Si", "Si", "Si", "Bi", "Bi", "Bi", "Bi"],
  "fractional_positions": [[0.750, 0.100, 0.203], [0.250, 0.400, 0.797], [0.250, 0.900, 0.797], [0.750, 0.600, 0.203], [0.772, 0.643, 0.782], [0.272, 0.857, 0.218], [0.228, 0.357, 0.218], [0.728, 0.143, 0.782], [0.617, 0.461, 0.423], [0.117, 0.039, 0.577], [0.383, 0.539, 0.577], [0.883, 0.961, 0.423], [0.250, 0.232, 0.466], [0.750, 0.268, 0.534], [0.750, 0.768, 0.534], [0.250, 0.732, 0.466]]
}